1.
This record from the Alexandria database describes AcPmSmY after structural relaxation. The functional is PBE.

```
AcPmSmY
1.0
3.5427 0.0000 0.0000
0.0000 5.8583 0.0000
0.0000 0.0000 7.0531
Ac Pm Sm Y
1 1 1 1
Direct
0.0000 0.0000 0.0000
0.5000 0.5000 0.7432
0.0000 0.5000 0.2789
0.0000 0.0000 0.5115
```

## Properties
Crystal system: orthorhombic
DFT total energy in eV per atom: -4.801
Total magnetization in μB per cell: 0.000

2.
This record from the Alexandria database describes Sr2LaPaN4 after structural relaxation. The functional is PBE.

```
Sr2LaPaN4
1.0
6.4101 0.0000 0.0000
0.0000 3.7039 0.0000
-2.1456 0.0000 6.0418
Sr La Pa N
2 1 1 4
Direct
0.0000 0.0000 0.0000
0.0000 0.5000 0.5000
0.5000 0.0000 0.5000
0.5000 0.5000 0.0000
0.2915 0.0000 0.7808
0.2961 0.5000 0.2287
0.7039 0.5000 0.7713
0.7085 0.0000 0.2192
```

## Properties
Crystal system: monoclinic
DFT total energy in eV per atom: -7.662
Formation energy (no corrections) in eV per atom: -1.2764
Total magnetization in μB per cell: 0.000